[1]
DFT (PBE-GGA) results for a geometry-optimized Ac3MgAl2Pd9 structure.

The space group is P-3m1 (No. 164) and the conventional cell measures 6.0217, 6.0217 and 10.7719 Å, with angles of 90.00, 90.00 and 120.00 degrees. The asymmetric unit holds Ac at (0.0000, 0.0000, 0.0000), Ac at (0.3333, 0.6667, 0.6784), Mg at (0.0000, 0.0000, 0.5000), Al at (0.3333, 0.6667, 0.1617), Pd at (0.0000, 0.5000, 0.0000) and Pd at (0.1583, 0.3166, 0.3090).

The total energy is -5.209 eV/atom. The calculation puts the magnetization at 0.00 μB/f.u.

***

[2]
DFT (PBE-GGA) results for a geometry-optimized AcPrMgAl structure.

The space group is P4mm (No. 99) and the conventional cell measures 3.899, 3.899 and 8.025 Å, with angles of 90.00, 90.00 and 90.00 degrees. The asymmetric unit holds Ac at (0.000, 0.000, 0.000), Pr at (0.000, 0.000, 0.468), Mg at (0.500, 0.500, 0.713) and Al at (0.500, 0.500, 0.253).

Its energy relative to the lowest polymorph listed for this composition is 0 meV per atom. The calculation puts the magnetization at 0.00 μB/f.u.

***

[3]
DFT (PBE-GGA) results for a geometry-optimized AcPrMgAl structure.

The space group is F-43m (No. 216) and the conventional cell measures 7.850, 7.850 and 7.850 Å, with angles of 90.00, 90.00 and 90.00 degrees. The asymmetric unit holds Ac at (0.000, 0.000, 0.000), Pr at (0.000, 0.000, 0.500), Mg at (0.250, 0.250, 0.750) and Al at (0.250, 0.250, 0.250).

Its energy relative to the lowest polymorph listed for this composition is 3 meV per atom. The calculation puts the magnetization at 0.00 μB/f.u.

***

[4]
DFT (PBE-GGA) results for a geometry-optimized Ac2MgAl2Pt5 structure.

The space group is P4/mbm (No. 127) and the conventional cell measures 10.750, 10.750 and 3.504 Å, with angles of 90.00, 90.00 and 90.00 degrees. The asymmetric unit holds Ac at (0.179, 0.321, 0.000), Mg at (0.000, 0.000, 0.000), Al at (0.121, 0.621, 0.000), Pt at (0.000, 0.500, 0.500) and Pt at (0.060, 0.789, 0.500).

The total energy is -5.616 eV/atom. The calculation puts the magnetization at 0.00 μB/f.u.

***

[5]
DFT (PBE-GGA) results for a geometry-optimized Ac2MgAl12Pt3 structure.

The space group is R-3m (No. 166, hexagonal axes) and the conventional cell measures 9.2363, 9.2363 and 17.8507 Å, with angles of 90.00, 90.00 and 120.00 degrees. The asymmetric unit holds Ac at (0.0000, 0.0000, 0.1007), Mg at (0.0000, 0.0000, 0.5000), Al at (0.0037, 0.5018, 0.1366), Al at (0.0678, 0.5339, 0.3013) and Pt at (0.0000, 0.5000, 0.0000).

The total energy is -4.184 eV/atom. The calculation puts the magnetization at 0.00 μB/f.u.

***

[6]
DFT (PBE-GGA) results for a geometry-optimized AcMgAl2Pt structure.

The space group is Imm2 (No. 44) and the conventional cell measures 4.483, 4.492 and 11.211 Å, with angles of 90.00, 90.00 and 90.00 degrees. The asymmetric unit holds Ac at (0.000, 0.000, 0.000), Mg at (0.000, 0.500, 0.748), Al at (0.000, 0.000, 0.399), Al at (0.000, 0.500, 0.247) and Pt at (0.000, 0.000, 0.622).

The total energy is -4.527 eV/atom. The calculation puts the magnetization at 0.00 μB/f.u.

***

[7]
DFT (PBE-GGA) results for a geometry-optimized AcMgAlPt3 structure.

The space group is Cmcm (No. 63) and the conventional cell measures 7.158, 12.590 and 5.891 Å, with angles of 90.00, 90.00 and 90.00 degrees. The asymmetric unit holds Ac at (0.000, 0.212, 0.250), Mg at (0.000, 0.488, 0.250), Al at (0.000, 0.110, 0.750), Pt at (0.000, 0.300, 0.750) and Pt at (0.202, 0.000, 0.000).

The total energy is -5.364 eV/atom. The calculation puts the magnetization at 0.00 μB/f.u.

***

[8]
DFT (PBE-GGA) results for a geometry-optimized AcMg2AlPt4 structure.

The space group is R-3m (No. 166, hexagonal axes) and the conventional cell measures 4.4297, 4.4297 and 27.1003 Å, with angles of 90.00, 90.00 and 120.00 degrees. The asymmetric unit holds Ac at (0.0000, 0.0000, 0.0000), Mg at (0.0000, 0.0000, 0.2365), Al at (0.0000, 0.0000, 0.5000), Pt at (0.0000, 0.0000, 0.1364) and Pt at (0.0000, 0.0000, 0.4054).

The total energy is -5.356 eV/atom. The calculation puts the magnetization at 0.00 μB/f.u.

***

[9]
DFT (PBE-GGA) results for a geometry-optimized AcMgAlPt2 structure.

The space group is I-4m2 (No. 119) and the conventional cell measures 4.225, 4.225 and 12.046 Å, with angles of 90.00, 90.00 and 90.00 degrees. The asymmetric unit holds Ac at (0.000, 0.000, 0.000), Mg at (0.000, 0.500, 0.250), Al at (0.000, 0.500, 0.750) and Pt at (0.000, 0.000, 0.381).

The total energy is -5.313 eV/atom. The calculation puts the magnetization at 0.00 μB/f.u.

***

[10]
DFT (PBE-GGA) results for a geometry-optimized Ac2MgAl3Pt4 structure.

The space group is P-4m2 (No. 115) and the conventional cell measures 4.434, 4.434 and 10.689 Å, with angles of 90.00, 90.00 and 90.00 degrees. The asymmetric unit holds Ac at (0.000, 0.500, 0.245), Mg at (0.000, 0.000, 0.500), Al at (0.000, 0.500, 0.883), Al at (0.500, 0.500, 0.500), Pt at (0.000, 0.000, 0.000), Pt at (0.000, 0.500, 0.641) and Pt at (0.500, 0.500, 0.000).

The total energy is -5.560 eV/atom. The calculation puts the magnetization at 0.00 μB/f.u.

***

[11]
DFT (PBE-GGA) results for a geometry-optimized AcPuMgAl structure.

The space group is F-43m (No. 216) and the conventional cell measures 7.731, 7.731 and 7.731 Å, with angles of 90.00, 90.00 and 90.00 degrees. The asymmetric unit holds Ac at (0.000, 0.000, 0.000), Pu at (0.000, 0.000, 0.500), Mg at (0.250, 0.250, 0.250) and Al at (0.250, 0.250, 0.750).

The total energy is -5.926 eV/atom. The calculation puts the magnetization at 6.19 μB/f.u.

***

[12]
DFT (PBE-GGA) results for a geometry-optimized AcMgAlRh structure.

The space group is R3m (No. 160, hexagonal axes) and the conventional cell measures 4.4100, 4.4100 and 17.7573 Å, with angles of 90.00, 90.00 and 120.00 degrees. The asymmetric unit holds Ac at (0.0000, 0.0000, 0.0000), Mg at (0.0000, 0.0000, 0.1898), Al at (0.0000, 0.0000, 0.7900) and Rh at (0.0000, 0.0000, 0.4491).

The total energy is -4.663 eV/atom. The calculation puts the magnetization at 0.00 μB/f.u.

***

[13]
DFT (PBE-GGA) results for a geometry-optimized Ac2MgAlS6 structure.

The space group is P2_1/c (No. 14) and the conventional cell measures 6.451, 7.269 and 11.578 Å, with angles of 90.00, 123.77 and 90.00 degrees. The asymmetric unit holds Ac at (0.212, 0.094, 0.249), Mg at (0.500, 0.000, 0.000), Al at (0.000, 0.000, 0.500), S at (0.133, 0.200, 0.957), S at (0.269, 0.682, 0.959) and S at (0.326, 0.011, 0.742).

The calculation puts the magnetization at 0.00 μB/f.u. The calculation puts the formation energy from raw total energies at -1.57 eV per atom.

***

[14]
DFT (PBE-GGA) results for a geometry-optimized AcMgScAl structure.

The space group is F-43m (No. 216) and the conventional cell measures 7.534, 7.534 and 7.534 Å, with angles of 90.00, 90.00 and 90.00 degrees. The asymmetric unit holds Ac at (0.000, 0.000, 0.000), Mg at (0.250, 0.250, 0.250), Sc at (0.000, 0.000, 0.500) and Al at (0.250, 0.250, 0.750).

The total energy is -4.072 eV/atom. The calculation puts the magnetization at 0.00 μB/f.u.

***

[15]
DFT (PBE-GGA) results for a geometry-optimized Ac2MgAlSe6 structure.

The space group is P2_1/c (No. 14) and the conventional cell measures 6.465, 7.827 and 12.029 Å, with angles of 90.00, 121.88 and 90.00 degrees. The asymmetric unit holds Ac at (0.191, 0.105, 0.248), Mg at (0.500, 0.000, 0.000), Al at (0.000, 0.000, 0.500), Se at (0.116, 0.193, 0.957), Se at (0.291, 0.675, 0.960) and Se at (0.331, 0.017, 0.743).

The calculation puts the magnetization at 0.00 μB/f.u. The calculation puts the formation energy from raw total energies at -1.42 eV per atom.

***

[16]
DFT (PBE-GGA) results for a geometry-optimized AcMgAlSi2 structure.

The space group is I-4m2 (No. 119) and the conventional cell measures 4.308, 4.308 and 11.619 Å, with angles of 90.00, 90.00 and 90.00 degrees. The asymmetric unit holds Ac at (0.000, 0.000, 0.000), Mg at (0.000, 0.500, 0.750), Al at (0.000, 0.500, 0.250) and Si at (0.000, 0.000, 0.388).

The calculation puts the magnetization at 0.00 μB/f.u. The calculation puts the formation energy from raw total energies at -0.40 eV per atom.

***

[17]
DFT (PBE-GGA) results for a geometry-optimized AcThMgAl structure.

The space group is F-43m (No. 216) and the conventional cell measures 7.777, 7.777 and 7.777 Å, with angles of 90.00, 90.00 and 90.00 degrees. The asymmetric unit holds Ac at (0.000, 0.000, 0.000), Th at (0.000, 0.000, 0.500), Mg at (0.250, 0.250, 0.250) and Al at (0.250, 0.250, 0.750).

The total energy is -4.272 eV/atom. The calculation puts the magnetization at 0.00 μB/f.u.

***

[18]
DFT (PBE-GGA) results for a geometry-optimized AcTmMgAl structure.

The space group is F-43m (No. 216) and the conventional cell measures 7.674, 7.674 and 7.674 Å, with angles of 90.00, 90.00 and 90.00 degrees. The asymmetric unit holds Ac at (0.000, 0.000, 0.000), Tm at (0.000, 0.000, 0.500), Mg at (0.250, 0.250, 0.750) and Al at (0.250, 0.250, 0.250).

The total energy is -3.638 eV/atom. The calculation puts the magnetization at 0.00 μB/f.u.

***

[19]
DFT (PBE-GGA) results for a geometry-optimized AcMg2AlZn4 structure.

The space group is R-3m (No. 166, hexagonal axes) and the conventional cell measures 4.5625, 4.5625 and 28.0466 Å, with angles of 90.00, 90.00 and 120.00 degrees. The asymmetric unit holds Ac at (0.0000, 0.0000, 0.0000), Mg at (0.0000, 0.0000, 0.2357), Al at (0.0000, 0.0000, 0.5000), Zn at (0.0000, 0.0000, 0.1293) and Zn at (0.0000, 0.0000, 0.4040).

The total energy is -2.165 eV/atom. The calculation puts the magnetization at 0.00 μB/f.u.

***

[20]
DFT (PBE-GGA) results for a geometry-optimized AcMgAlZn structure.

The space group is F-43m (No. 216) and the conventional cell measures 7.384, 7.384 and 7.384 Å, with angles of 90.00, 90.00 and 90.00 degrees. The asymmetric unit holds Ac at (0.000, 0.000, 0.000), Mg at (0.000, 0.000, 0.500), Al at (0.250, 0.250, 0.750) and Zn at (0.250, 0.250, 0.250).

The total energy is -2.863 eV/atom. The calculation puts the magnetization at 0.00 μB/f.u.